Density functional theory data (PBE-GGA) for a relaxed structure of Tb2Pm3Co2.

Results
- crystal system = monoclinic
- M_tot (Bohr magnetons per cell) = 0.0
- ΔE_f (eV per atom) = -0.097

a = 3.7593 Å, b = 6.3391 Å, c = 8.9485 Å
α = 114.35°, β = 90.00°, γ = 107.25°
With the nearest neighbours (Å) after each atom.
Sites, in units of the cell vectors:
Tb1 0.8255 0.6510 0.1924  2 Co 2.72
Tb2 0.1745 0.3490 0.8076  2 Co 2.72
Pm1 0.5000 0.0000 0.0000  4 Co 3.00
Pm2 0.6157 0.2314 0.4246  3 Co 2.82-2.92
Pm3 0.3843 0.7686 0.5754  3 Co 2.82-2.92
Co1 0.8172 0.6344 0.7565  2 Tb 2.72, 5 Pm 2.82-3.00
Co2 0.1828 0.3656 0.2435  2 Tb 2.72, 5 Pm 2.82-3.00



Density functional theory data (PBE-GGA) for a relaxed structure of Pm5Si2O2.

Results
- crystal system = monoclinic
- M_tot (Bohr magnetons per cell) = 0.0
- uncorrected formation energy (eV/atom) = -1.469

a = 4.9709 Å, b = 6.9589 Å, c = 6.9369 Å
α = 108.32°, β = 90.00°, γ = 110.93°
With the nearest neighbours (Å) after each atom.
Sites, in units of the cell vectors:
Pm1 0.3460 0.6919 0.1008  3 O 2.38-2.49
Pm2 0.6540 0.3081 0.8992  3 O 2.38-2.49
Pm3 0.1578 0.3156 0.5470  1 O 2.32
Pm4 0.8422 0.6844 0.4530  1 O 2.32
Pm5 0.0000 0.0000 0.0000  2 O 2.48
Si1 0.4034 0.8068 0.7080  7 Pm 3.00-3.19
Si2 0.5966 0.1932 0.2920  7 Pm 3.00-3.19
O1 0.1602 0.3204 0.8833  5 Pm 2.32-2.49
O2 0.8398 0.6796 0.1167  5 Pm 2.32-2.49



Density functional theory data (PBE-GGA) for a relaxed structure of CuRe3.

Results
- crystal system = cubic
- M_tot (Bohr magnetons per cell) = 0.0
- ΔE_f (eV per atom) = 3.265

a = 4.4730 Å, b = 4.4730 Å, c = 4.4730 Å
α = 90.00°, β = 90.00°, γ = 90.00°
With the nearest neighbours (Å) after each atom.
Sites, in units of the cell vectors:
Cu1 0.0000 0.0000 0.0000  6 Re 2.24
Re1 0.0000 0.0000 0.5000  2 Cu 2.24
Re2 0.0000 0.5000 0.0000  2 Cu 2.24
Re3 0.5000 0.0000 0.0000  2 Cu 2.24



Density functional theory data (PBE-GGA) for a relaxed structure of Dy12Ni6Ag.

Results
- crystal system = cubic
- M_tot (Bohr magnetons per cell) = 0.0
- ΔE_f (eV per atom) = -0.317

a = 8.3671 Å, b = 8.3671 Å, c = 8.3671 Å
α = 109.47°, β = 109.47°, γ = 109.47°
With the nearest neighbours (Å) after each atom.
Sites, in units of the cell vectors:
Dy1 0.3029 0.1864 0.4893  3 Ni 2.64-2.88
Dy2 0.3029 0.8136 0.1166  3 Ni 2.64-2.88
Dy3 0.6971 0.1864 0.8834  3 Ni 2.64-2.88
Dy4 0.6971 0.8136 0.5107  3 Ni 2.64-2.88
Dy5 0.1166 0.3029 0.8136  3 Ni 2.64-2.88
Dy6 0.4893 0.3029 0.1864  3 Ni 2.64-2.88
Dy7 0.5107 0.6971 0.8136  3 Ni 2.64-2.88
Dy8 0.8834 0.6971 0.1864  3 Ni 2.64-2.88
Dy9 0.8136 0.5107 0.6971  3 Ni 2.64-2.88
Dy10 0.1864 0.8834 0.6971  3 Ni 2.64-2.88
Dy11 0.8136 0.1166 0.3029  3 Ni 2.64-2.88
Dy12 0.1864 0.4893 0.3029  3 Ni 2.64-2.88
Ni1 0.3755 0.8755 0.5000  1 Ni 2.41, 2 Dy 2.64
Ni2 0.6245 0.1245 0.5000  1 Ni 2.41, 2 Dy 2.64
Ni3 0.5000 0.6245 0.1245  1 Ni 2.41, 2 Dy 2.64
Ni4 0.5000 0.3755 0.8755  1 Ni 2.41, 2 Dy 2.64
Ni5 0.8755 0.5000 0.3755  1 Ni 2.41, 2 Dy 2.64
Ni6 0.1245 0.5000 0.6245  1 Ni 2.41, 2 Dy 2.64
Ag1 0.0000 0.0000 0.0000  12 Dy 3.44



Density functional theory data (PBE-GGA) for a relaxed structure of Tm3Si8Ru3.

Results
- crystal system = monoclinic
- M_tot (Bohr magnetons per cell) = 0.0
- uncorrected formation energy (eV/atom) = -0.659

a = 4.1272 Å, b = 7.7448 Å, c = 8.3467 Å
α = 63.03°, β = 75.69°, γ = 74.55°
With the nearest neighbours (Å) after each atom.
Sites, in units of the cell vectors:
Tm1 0.2949 0.7543 0.6558  9 Si 2.84-3.04
Tm2 0.7051 0.2457 0.3442  9 Si 2.84-3.04
Tm3 0.0000 0.0000 0.0000  8 Si 2.82-3.00
Si1 0.1165 0.1496 0.6173  1 Ru 2.38, 2 Si 2.43
Si2 0.8835 0.8504 0.3827  1 Ru 2.38, 2 Si 2.43
Si3 0.8594 0.4412 0.8399  4 Ru 2.41-2.60, 2 Si 2.64
Si4 0.1406 0.5588 0.1601  4 Ru 2.41-2.60, 2 Si 2.64
Si5 0.5154 0.6714 0.2979  5 Si 2.50-2.70, 3 Ru 2.51-2.61
Si6 0.4846 0.3286 0.7021  5 Si 2.50-2.70, 3 Ru 2.51-2.61
Si7 0.3618 0.0244 0.2521  1 Ru 2.38, 3 Si 2.43-2.50
Si8 0.6382 0.9756 0.7479  1 Ru 2.38, 3 Si 2.43-2.50
Ru1 0.0000 0.5000 0.5000  8 Si 2.38-2.61
Ru2 0.6744 0.6578 0.9934  5 Si 2.38-2.51
Ru3 0.3256 0.3422 0.0066  5 Si 2.38-2.51



Density functional theory data (PBE-GGA) for a relaxed structure of SiTc2Ru.

Results
- crystal system = orthorhombic
- M_tot (Bohr magnetons per cell) = 0.0
- uncorrected formation energy (eV/atom) = -0.128

a = 2.8176 Å, b = 3.9722 Å, c = 5.0012 Å
α = 90.00°, β = 90.00°, γ = 90.00°
With the nearest neighbours (Å) after each atom.
Sites, in units of the cell vectors:
Ru1 0.5000 0.5000 0.2500  2 Si 2.50, 8 Tc 2.76
Si1 0.5000 0.5000 0.7500  2 Ru 2.50, 8 Tc 2.71
Tc1 0.0000 0.0000 0.9882  2 Tc 2.38-2.62
Tc2 0.0000 0.0000 0.5118  2 Tc 2.38-2.62



Density functional theory data (PBE-GGA) for a relaxed structure of PrMg12Zn4.

Results
- crystal system = cubic
- M_tot (Bohr magnetons per cell) = 0.0
- ΔE_f (eV per atom) = 0.180

a = 8.2146 Å, b = 8.2146 Å, c = 8.2146 Å
α = 109.47°, β = 109.47°, γ = 109.47°
With the nearest neighbours (Å) after each atom.
Sites, in units of the cell vectors:
Pr1 0.0000 0.0000 0.0000  12 Mg 3.57
Mg1 0.8350 0.3378 0.1728  2 Zn 2.64
Mg2 0.3378 0.5028 0.1650  2 Zn 2.64
Mg3 0.8272 0.1650 0.6622  2 Zn 2.64
Mg4 0.3378 0.1728 0.8350  2 Zn 2.64
Mg5 0.1728 0.8350 0.3378  2 Zn 2.64
Mg6 0.6622 0.4972 0.8350  2 Zn 2.64
Mg7 0.5028 0.1650 0.3378  2 Zn 2.64
Mg8 0.4972 0.8350 0.6622  2 Zn 2.64
Mg9 0.6622 0.8272 0.1650  2 Zn 2.64
Mg10 0.8350 0.6622 0.4972  2 Zn 2.64
Mg11 0.1650 0.3378 0.5028  2 Zn 2.64
Mg12 0.1650 0.6622 0.8272  2 Zn 2.64
Zn1 0.0000 0.5000 0.0000  6 Mg 2.64
Zn2 0.5000 0.0000 0.0000  6 Mg 2.64
Zn3 0.5000 0.5000 0.5000  6 Mg 2.64
Zn4 0.0000 0.0000 0.5000  6 Mg 2.64



Density functional theory data (PBE-GGA) for a relaxed structure of PmBiRhSe.

Results
- crystal system = tetragonal
- M_tot (Bohr magnetons per cell) = 0.0
- uncorrected formation energy (eV/atom) = -0.885

a = 4.8922 Å, b = 4.8922 Å, c = 8.3006 Å
α = 90.00°, β = 90.00°, γ = 90.00°
With the nearest neighbours (Å) after each atom.
Sites, in units of the cell vectors:
Pm1 0.5000 0.0000 0.6912  4 Se 2.92
Pm2 0.0000 0.5000 0.3088  4 Se 2.92
Bi1 0.0000 0.5000 0.8495  4 Rh 2.75
Bi2 0.5000 0.0000 0.1505  4 Rh 2.75
Rh1 0.5000 0.5000 0.0000  4 Bi 2.75
Rh2 0.0000 0.0000 0.0000  4 Bi 2.75
Se1 0.0000 0.0000 0.5000  4 Pm 2.92
Se2 0.5000 0.5000 0.5000  4 Pm 2.92



Density functional theory data (PBE-GGA) for a relaxed structure of La2AgSbC.

Results
- crystal system = tetragonal
- M_tot (Bohr magnetons per cell) = 0.0
- uncorrected formation energy (eV/atom) = -0.428

a = 5.3121 Å, b = 5.3121 Å, c = 4.3567 Å
α = 90.00°, β = 90.00°, γ = 90.00°
With the nearest neighbours (Å) after each atom.
Sites, in units of the cell vectors:
Sb1 0.5000 0.5000 0.5000  8 La 3.44, 4 Ag 3.76
C1 0.0000 0.0000 0.0000  2 Ag 2.18
Ag1 0.0000 0.0000 0.5000  2 C 2.18
La1 0.0000 0.5000 0.0000  2 C 2.66
La2 0.5000 0.0000 0.0000  2 C 2.66



Density functional theory data (PBE-GGA) for a relaxed structure of Ce2HoEr.

Results
- crystal system = tetragonal
- M_tot (Bohr magnetons per cell) = 1.5
- ΔE_f (eV per atom) = 0.104

a = 5.0042 Å, b = 4.8993 Å, c = 4.8993 Å
α = 90.00°, β = 90.00°, γ = 90.00°
With the nearest neighbours (Å) after each atom.
Sites, in units of the cell vectors:
Ho1 0.5000 0.5000 0.5000  4 Er 3.46, 8 Ce 3.50
Ce1 0.0000 0.0000 0.5000  4 Ce 3.46, 4 Ho 3.50, 4 Er 3.50
Ce2 0.0000 0.5000 0.0000  4 Ce 3.46, 4 Ho 3.50, 4 Er 3.50
Er1 0.5000 0.0000 0.0000  4 Ho 3.46, 8 Ce 3.50



no.,D(E_F) (states/eV/atom)
1,1.0419
2,0.5523
3,1.7368
4,1.2498
5,0.3563
6,0.8561
7,0.5208
8,0.5877
9,0.3802
10,2.5295